(1)
! LiTiSi4O10 | Alexandria via LeMat-Bulk | GGA-PBEsol | optimized geometry; values from VASP
! **Calculated density**: 2.417 Mg/m³
! **Uncorrected formation energy**: -43.366 eV/f.u.
! **Offset from the most stable computed form**: 7.6 meV/atom
! **Total DFT energy (no corrections)**: -8.07 eV/atom
&SYSTEM
  ibrav = 0, nat = 32, ntyp = 4
/
ATOMIC_SPECIES
Li 6.94 Li.upf
Ti 47.87 Ti.upf
Si 28.09 Si.upf
O 16.00 O.upf
CELL_PARAMETERS angstrom
7.964 0.000 0.000
0.000 5.309 0.000
-4.037 0.000 10.634
ATOMIC_POSITIONS crystal
Li 0.000 0.247 0.250
Li 0.000 0.753 0.750
Ti 0.000 0.253 0.750
Ti 0.000 0.747 0.250
Si 0.296 0.025 0.151
Si 0.296 0.477 0.497
Si 0.296 0.523 0.997
Si 0.296 0.975 0.651
Si 0.704 0.025 0.349
Si 0.704 0.477 0.003
Si 0.704 0.523 0.503
Si 0.704 0.975 0.849
O 0.155 0.006 0.723
O 0.155 0.500 0.354
O 0.155 0.500 0.854
O 0.155 0.994 0.223
O 0.258 0.298 0.081
O 0.258 0.702 0.581
O 0.267 0.202 0.550
O 0.267 0.798 0.050
O 0.500 0.015 0.250
O 0.500 0.500 0.000
O 0.500 0.500 0.500
O 0.500 0.985 0.750
O 0.733 0.202 0.950
O 0.733 0.798 0.450
O 0.742 0.298 0.419
O 0.742 0.702 0.919
O 0.845 0.006 0.777
O 0.845 0.500 0.146
O 0.845 0.500 0.646
O 0.845 0.994 0.277

(2)
! LiTiSi4O10 | Alexandria via LeMat-Bulk | GGA-PBEsol | optimized geometry; values from VASP
! **Calculated density**: 2.857 Mg/m³
! **Uncorrected formation energy**: -43.488 eV/f.u.
! **Offset from the most stable computed form**: 0.0 meV/atom
! **Total DFT energy (no corrections)**: -8.08 eV/atom
&SYSTEM
  ibrav = 0, nat = 32, ntyp = 4
/
ATOMIC_SPECIES
Li 6.94 Li.upf
Ti 47.87 Ti.upf
Si 28.09 Si.upf
O 16.00 O.upf
CELL_PARAMETERS angstrom
4.812 0.000 0.000
0.000 7.172 0.000
0.000 0.000 11.020
ATOMIC_POSITIONS crystal
Li 0.000 0.000 0.000
Li 0.000 0.500 0.500
Ti 0.500 0.000 0.124
Ti 0.500 0.500 0.624
Si 0.031 0.213 0.736
Si 0.031 0.287 0.236
Si 0.471 0.713 0.899
Si 0.471 0.787 0.399
Si 0.529 0.213 0.399
Si 0.529 0.287 0.899
Si 0.969 0.713 0.236
Si 0.969 0.787 0.736
O 0.000 0.000 0.689
O 0.000 0.500 0.189
O 0.180 0.155 0.139
O 0.180 0.345 0.639
O 0.218 0.207 0.861
O 0.218 0.293 0.361
O 0.283 0.702 0.770
O 0.283 0.798 0.270
O 0.325 0.657 0.497
O 0.325 0.843 0.997
O 0.500 0.000 0.446
O 0.500 0.500 0.946
O 0.675 0.157 0.997
O 0.675 0.343 0.497
O 0.717 0.202 0.270
O 0.717 0.298 0.770
O 0.782 0.707 0.361
O 0.782 0.793 0.861
O 0.820 0.655 0.639
O 0.820 0.845 0.139

(3)
! Li3TiSi6O15 | Alexandria via LeMat-Bulk | GGA-PBEsol | optimized geometry; values from VASP
! **Calculated density**: 2.737 Mg/m³
! **Uncorrected formation energy**: -67.130 eV/f.u.
! **Total DFT energy (no corrections)**: -7.78 eV/atom
&SYSTEM
  ibrav = 0, nat = 100, ntyp = 4
/
ATOMIC_SPECIES
Li 6.94 Li.upf
Ti 47.87 Ti.upf
Si 28.09 Si.upf
O 16.00 O.upf
CELL_PARAMETERS angstrom
14.843 0.000 0.000
0.000 7.922 0.000
0.000 0.000 9.849
ATOMIC_POSITIONS crystal
Li 0.095 0.250 0.077
Li 0.242 0.005 0.505
Li 0.242 0.495 0.505
Li 0.258 0.505 0.005
Li 0.258 0.995 0.005
Li 0.405 0.750 0.577
Li 0.595 0.250 0.423
Li 0.742 0.005 0.995
Li 0.742 0.495 0.995
Li 0.758 0.505 0.495
Li 0.758 0.995 0.495
Li 0.905 0.750 0.923
Ti 0.245 0.750 0.760
Ti 0.255 0.250 0.260
Ti 0.745 0.750 0.740
Ti 0.755 0.250 0.240
Si 0.099 0.059 0.798
Si 0.099 0.250 0.531
Si 0.099 0.441 0.798
Si 0.099 0.750 0.477
Si 0.103 0.561 0.210
Si 0.103 0.939 0.210
Si 0.397 0.061 0.710
Si 0.397 0.439 0.710
Si 0.401 0.250 0.977
Si 0.401 0.559 0.298
Si 0.401 0.750 0.031
Si 0.401 0.941 0.298
Si 0.599 0.059 0.702
Si 0.599 0.250 0.969
Si 0.599 0.441 0.702
Si 0.599 0.750 0.023
Si 0.603 0.561 0.290
Si 0.603 0.939 0.290
Si 0.897 0.061 0.790
Si 0.897 0.439 0.790
Si 0.901 0.250 0.523
Si 0.901 0.559 0.202
Si 0.901 0.750 0.469
Si 0.901 0.941 0.202
O 0.001 0.250 0.456
O 0.003 0.014 0.168
O 0.003 0.486 0.168
O 0.103 0.250 0.870
O 0.106 0.086 0.633
O 0.106 0.414 0.633
O 0.109 0.584 0.376
O 0.109 0.916 0.376
O 0.115 0.750 0.144
O 0.174 0.073 0.154
O 0.174 0.427 0.154
O 0.178 0.558 0.851
O 0.178 0.942 0.851
O 0.181 0.750 0.581
O 0.185 0.250 0.435
O 0.315 0.750 0.935
O 0.319 0.250 0.081
O 0.322 0.058 0.351
O 0.322 0.442 0.351
O 0.326 0.573 0.654
O 0.326 0.927 0.654
O 0.385 0.250 0.644
O 0.391 0.084 0.876
O 0.391 0.416 0.876
O 0.394 0.586 0.133
O 0.394 0.914 0.133
O 0.397 0.750 0.370
O 0.497 0.514 0.668
O 0.497 0.986 0.668
O 0.499 0.750 0.956
O 0.501 0.250 0.044
O 0.503 0.014 0.332
O 0.503 0.486 0.332
O 0.603 0.250 0.630
O 0.606 0.086 0.867
O 0.606 0.414 0.867
O 0.609 0.584 0.124
O 0.609 0.916 0.124
O 0.615 0.750 0.356
O 0.674 0.073 0.346
O 0.674 0.427 0.346
O 0.678 0.558 0.649
O 0.678 0.942 0.649
O 0.681 0.750 0.919
O 0.685 0.250 0.065
O 0.815 0.750 0.565
O 0.819 0.250 0.419
O 0.822 0.058 0.149
O 0.822 0.442 0.149
O 0.826 0.573 0.846
O 0.826 0.927 0.846
O 0.885 0.250 0.856
O 0.891 0.084 0.624
O 0.891 0.416 0.624
O 0.894 0.586 0.367
O 0.894 0.914 0.367
O 0.897 0.750 0.130
O 0.997 0.514 0.832
O 0.997 0.986 0.832
O 0.999 0.750 0.544

(4)
! Li3TiSi6O15 | Alexandria via LeMat-Bulk | GGA-PBEsol | optimized geometry; values from VASP
! **Calculated density**: 2.644 Mg/m³
! **Uncorrected formation energy**: -67.106 eV/f.u.
! **Total DFT energy (no corrections)**: -7.78 eV/atom
&SYSTEM
  ibrav = 0, nat = 100, ntyp = 4
/
ATOMIC_SPECIES
Li 6.94 Li.upf
Ti 47.87 Ti.upf
Si 28.09 Si.upf
O 16.00 O.upf
CELL_PARAMETERS angstrom
7.021 -8.418 0.000
7.021 8.418 0.000
0.000 0.000 10.141
ATOMIC_POSITIONS crystal
Li 0.019 0.481 0.750
Li 0.056 0.944 0.826
Li 0.237 0.237 0.000
Li 0.263 0.263 0.500
Li 0.444 0.556 0.326
Li 0.481 0.019 0.250
Li 0.519 0.981 0.750
Li 0.556 0.444 0.674
Li 0.737 0.737 0.500
Li 0.763 0.763 0.000
Li 0.944 0.056 0.174
Li 0.981 0.519 0.250
Ti 0.156 0.344 0.250
Ti 0.344 0.156 0.750
Ti 0.656 0.844 0.250
Ti 0.844 0.656 0.750
Si 0.015 0.767 0.485
Si 0.041 0.191 0.807
Si 0.082 0.699 0.958
Si 0.191 0.041 0.193
Si 0.199 0.582 0.458
Si 0.233 0.985 0.485
Si 0.267 0.515 0.985
Si 0.301 0.918 0.958
Si 0.309 0.459 0.693
Si 0.418 0.801 0.458
Si 0.459 0.309 0.307
Si 0.485 0.733 0.985
Si 0.515 0.267 0.015
Si 0.541 0.691 0.693
Si 0.582 0.199 0.542
Si 0.691 0.541 0.307
Si 0.699 0.082 0.042
Si 0.733 0.485 0.015
Si 0.767 0.015 0.515
Si 0.801 0.418 0.542
Si 0.809 0.959 0.807
Si 0.918 0.301 0.042
Si 0.959 0.809 0.193
Si 0.985 0.233 0.515
O 0.010 0.288 0.918
O 0.011 0.639 0.829
O 0.036 0.264 0.667
O 0.065 0.935 0.192
O 0.090 0.910 0.491
O 0.099 0.254 0.415
O 0.113 0.676 0.515
O 0.139 0.511 0.329
O 0.141 0.167 0.160
O 0.159 0.841 0.924
O 0.167 0.141 0.840
O 0.176 0.613 0.015
O 0.212 0.490 0.582
O 0.236 0.464 0.833
O 0.246 0.401 0.085
O 0.254 0.099 0.585
O 0.264 0.036 0.333
O 0.288 0.010 0.082
O 0.324 0.887 0.515
O 0.333 0.359 0.340
O 0.341 0.659 0.424
O 0.359 0.333 0.660
O 0.361 0.989 0.829
O 0.387 0.824 0.015
O 0.401 0.246 0.915
O 0.410 0.590 0.991
O 0.435 0.565 0.692
O 0.464 0.236 0.167
O 0.489 0.861 0.329
O 0.490 0.212 0.418
O 0.510 0.788 0.582
O 0.511 0.139 0.671
O 0.536 0.764 0.833
O 0.565 0.435 0.308
O 0.590 0.410 0.009
O 0.599 0.754 0.085
O 0.613 0.176 0.985
O 0.639 0.011 0.171
O 0.641 0.667 0.340
O 0.659 0.341 0.576
O 0.667 0.641 0.660
O 0.676 0.113 0.485
O 0.712 0.990 0.918
O 0.736 0.964 0.667
O 0.746 0.901 0.415
O 0.754 0.599 0.915
O 0.764 0.536 0.167
O 0.788 0.510 0.418
O 0.824 0.387 0.985
O 0.833 0.859 0.160
O 0.841 0.159 0.076
O 0.859 0.833 0.840
O 0.861 0.489 0.671
O 0.887 0.324 0.485
O 0.901 0.746 0.585
O 0.910 0.090 0.509
O 0.935 0.065 0.808
O 0.964 0.736 0.333
O 0.989 0.361 0.171
O 0.990 0.712 0.082

(5)
! Li3TiSiO5 | Alexandria via LeMat-Bulk | GGA-PBEsol | optimized geometry; values from VASP
! **Calculated density**: 2.826 Mg/m³
! **Uncorrected formation energy**: -24.982 eV/f.u.
! **Total DFT energy (no corrections)**: -7.12 eV/atom
&SYSTEM
  ibrav = 0, nat = 40, ntyp = 4
/
ATOMIC_SPECIES
Li 6.94 Li.upf
Ti 47.87 Ti.upf
Si 28.09 Si.upf
O 16.00 O.upf
CELL_PARAMETERS angstrom
5.337 0.000 0.000
0.000 15.530 0.000
0.000 0.000 5.013
ATOMIC_POSITIONS crystal
Li 0.163 0.190 0.000
Li 0.164 0.002 0.012
Li 0.173 0.589 0.009
Li 0.327 0.089 0.509
Li 0.336 0.502 0.512
Li 0.337 0.690 0.500
Li 0.663 0.310 0.000
Li 0.664 0.498 0.012
Li 0.673 0.911 0.009
Li 0.827 0.411 0.509
Li 0.836 0.998 0.512
Li 0.837 0.810 0.500
Ti 0.205 0.792 0.990
Ti 0.295 0.292 0.490
Ti 0.705 0.708 0.990
Ti 0.795 0.208 0.490
Si 0.160 0.401 0.011
Si 0.340 0.901 0.511
Si 0.660 0.099 0.011
Si 0.840 0.599 0.511
O 0.126 0.601 0.619
O 0.140 0.194 0.618
O 0.173 0.394 0.680
O 0.180 0.982 0.621
O 0.198 0.808 0.613
O 0.302 0.308 0.113
O 0.320 0.482 0.121
O 0.327 0.894 0.180
O 0.360 0.694 0.118
O 0.374 0.101 0.119
O 0.626 0.899 0.619
O 0.640 0.306 0.618
O 0.673 0.106 0.680
O 0.680 0.518 0.621
O 0.698 0.692 0.613
O 0.802 0.192 0.113
O 0.820 0.018 0.121
O 0.827 0.606 0.180
O 0.860 0.806 0.118
O 0.874 0.399 0.119

(6)
! LiVSiO4 | Alexandria via LeMat-Bulk | GGA-PBEsol | optimized geometry; values from VASP
! **Calculated density**: 3.444 Mg/m³
! **Uncorrected formation energy**: -16.699 eV/f.u.
! **Offset from the most stable computed form**: 79.5 meV/atom
! **Total DFT energy (no corrections)**: -7.86 eV/atom
&SYSTEM
  ibrav = 0, nat = 28, ntyp = 4
/
ATOMIC_SPECIES
Li 6.94 Li.upf
V 50.94 V.upf
Si 28.09 Si.upf
O 16.00 O.upf
CELL_PARAMETERS angstrom
5.417 0.000 0.000
1.970 6.012 0.000
1.354 1.872 8.879
ATOMIC_POSITIONS crystal
Li 0.178 0.128 0.136
Li 0.311 0.934 0.779
Li 0.689 0.066 0.221
Li 0.822 0.872 0.864
V 0.198 0.343 0.422
V 0.286 0.433 0.786
V 0.714 0.567 0.214
V 0.802 0.657 0.578
Si 0.166 0.674 0.091
Si 0.323 0.797 0.461
Si 0.677 0.203 0.539
Si 0.834 0.326 0.909
O 0.123 0.659 0.442
O 0.125 0.437 0.206
O 0.142 0.170 0.902
O 0.200 0.058 0.384
O 0.247 0.649 0.917
O 0.370 0.768 0.153
O 0.372 0.273 0.615
O 0.402 0.716 0.638
O 0.598 0.284 0.362
O 0.628 0.727 0.385
O 0.630 0.232 0.847
O 0.753 0.351 0.083
O 0.800 0.942 0.616
O 0.858 0.830 0.098
O 0.875 0.563 0.794
O 0.877 0.341 0.558